[1]
LiTmCdCl6 | PBE | relaxed

Output
Total magnetization in μB per cell: 0.0
Formation energy (no corrections) in eV per atom: -1.75
Total energy in eV for the cell shown: -68.23
Mass density in g/cm³: 3.65

```
data_LiTmCdCl6
_symmetry_space_group_name_H-M 'P -3 1 c'
_symmetry_Int_Tables_number 163
_symmetry_space_group_name_Hall '-P 3 2c'
_cell_length_a 6.6437
_cell_length_b 6.6437
_cell_length_c 11.9345
_cell_angle_alpha 90.00
_cell_angle_beta 90.00
_cell_angle_gamma 120.00
loop_
_atom_site_label
_atom_site_type_symbol
_atom_site_fract_x
_atom_site_fract_y
_atom_site_fract_z
Li1 Li 0.0000 0.0000 0.0000
Tm1 Tm 0.3333 0.6667 0.2500
Cd1 Cd 0.3333 0.6667 0.7500
Cl1 Cl 0.0063 0.3425 0.1263
```

[2]
Li2ZnCdCl6 | PBE | relaxed

Output
Total magnetization in μB per cell: 0.0
Formation energy (no corrections) in eV per atom: -1.34
Total energy in eV for the cell shown: -91.45
Mass density in g/cm³: 3.18

```
data_Li2ZnCdCl6
_symmetry_space_group_name_H-M 'R 3'
_symmetry_Int_Tables_number 146
_symmetry_space_group_name_Hall 'R 3'
_cell_length_a 6.4431
_cell_length_b 6.4431
_cell_length_c 17.6086
_cell_angle_alpha 90.00
_cell_angle_beta 90.00
_cell_angle_gamma 120.00
loop_
_atom_site_label
_atom_site_type_symbol
_atom_site_fract_x
_atom_site_fract_y
_atom_site_fract_z
Li1 Li 0.0000 0.0000 0.0000
Li2 Li 0.0000 0.0000 0.4987
Zn1 Zn 0.0000 0.0000 0.6961
Cd1 Cd 0.0000 0.0000 0.1973
Cl1 Cl 0.0106 0.7025 0.5985
Cl2 Cl 0.0166 0.3407 0.7605
```

[3]
MgCd2Cl | PBE | relaxed

Output
Total magnetization in μB per cell: 0.0
Excess energy over the best structure of this formula in the dataset in eV/atom: 0.0283
Formation energy (no corrections) in eV per atom: -0.44
Total energy in eV for the cell shown: -14.09
Mass density in g/cm³: 4.66

```
data_MgCd2Cl
_symmetry_space_group_name_H-M 'C m m 2'
_symmetry_Int_Tables_number 35
_symmetry_space_group_name_Hall 'C 2 -2'
_cell_length_a 4.234
_cell_length_b 4.701
_cell_length_c 10.196
_cell_angle_alpha 90.00
_cell_angle_beta 90.00
_cell_angle_gamma 90.00
loop_
_atom_site_label
_atom_site_type_symbol
_atom_site_fract_x
_atom_site_fract_y
_atom_site_fract_z
Mg1 Mg 0.000 0.000 0.000
Cd1 Cd 0.000 0.000 0.533
Cd2 Cd 0.000 0.500 0.777
Cl1 Cl 0.000 0.500 0.140
```

[4]
MgCd2Cl6 | PBE | relaxed

Output
Total magnetization in μB per cell: 0.0
Excess energy over the best structure of this formula in the dataset in eV/atom: 0.0333
Formation energy (no corrections) in eV per atom: -1.31
Total energy in eV for the cell shown: -52.50
Mass density in g/cm³: 3.40

```
data_MgCd2Cl6
_symmetry_space_group_name_H-M 'P 42/m n m'
_symmetry_Int_Tables_number 136
_symmetry_space_group_name_Hall '-P 4n 2n'
_cell_length_a 6.221
_cell_length_b 6.221
_cell_length_c 11.674
_cell_angle_alpha 90.00
_cell_angle_beta 90.00
_cell_angle_gamma 90.00
loop_
_atom_site_label
_atom_site_type_symbol
_atom_site_fract_x
_atom_site_fract_y
_atom_site_fract_z
Mg1 Mg 0.000 0.000 0.000
Cd1 Cd 0.000 0.000 0.334
Cl1 Cl 0.191 0.191 0.159
Cl2 Cl 0.203 0.203 0.500
```

[5]
MgCd2Cl | PBE | relaxed

Output
Total magnetization in μB per cell: 0.0
Excess energy over the best structure of this formula in the dataset in eV/atom: 0.3438
Formation energy (no corrections) in eV per atom: -0.13
Total energy in eV for the cell shown: -23.12
Mass density in g/cm³: 4.70

```
data_MgCd2Cl
_symmetry_space_group_name_H-M 'F -4 3 m'
_symmetry_Int_Tables_number 216
_symmetry_space_group_name_Hall 'F -4 2 3'
_cell_length_a 7.380
_cell_length_b 7.380
_cell_length_c 7.380
_cell_angle_alpha 90.00
_cell_angle_beta 90.00
_cell_angle_gamma 90.00
loop_
_atom_site_label
_atom_site_type_symbol
_atom_site_fract_x
_atom_site_fract_y
_atom_site_fract_z
Mg1 Mg 0.000 0.000 0.000
Cd1 Cd 0.000 0.000 0.500
Cd2 Cd 0.250 0.250 0.250
Cl1 Cl 0.250 0.250 0.750
```

[6]
Mg3CdCl8 | PBE | relaxed

Output
Total magnetization in μB per cell: 0.0
Formation energy (no corrections) in eV per atom: -1.66
Total energy in eV for the cell shown: -80.76
Mass density in g/cm³: 2.47

```
data_Mg3CdCl8
_symmetry_space_group_name_H-M 'C 1 2/m 1'
_symmetry_Int_Tables_number 12
_symmetry_space_group_name_Hall '-C 2y'
_cell_length_a 12.940
_cell_length_b 7.467
_cell_length_c 7.868
_cell_angle_alpha 90.00
_cell_angle_beta 123.87
_cell_angle_gamma 90.00
loop_
_atom_site_label
_atom_site_type_symbol
_atom_site_fract_x
_atom_site_fract_y
_atom_site_fract_z
Mg1 Mg 0.000 0.000 0.000
Mg2 Mg 0.250 0.250 0.000
Cd1 Cd 0.000 0.500 0.000
Cl1 Cl 0.014 0.239 0.786
Cl2 Cl 0.238 0.000 0.209
Cl3 Cl 0.246 0.500 0.214
```